Entry 1:
16
Lattice="7.743 0.000 0.000 0.000 7.743 0.000 0.000 0.000 7.743" Properties=species:S:1:pos:R:3 comment="PBE-GGA Li2EuGd, relaxed" final_energy_ev_per_cell=-110.32 polymorph_energy_mev_per_atom=30 formation_enthalpy_0k_ev_per_atom=0.15 vol_a3_per_atom=29.01 total_magnetization_mub_per_cell=0.503 crystal_system=cubic pbc="T T T"
Li 1.936 1.936 1.936
Li 1.936 1.936 5.807
Li 1.936 5.807 1.936
Li 1.936 5.807 5.807
Li 5.807 1.936 1.936
Li 5.807 1.936 5.807
Li 5.807 5.807 1.936
Li 5.807 5.807 5.807
Eu 0.000 0.000 0.000
Eu 0.000 3.872 3.872
Eu 3.872 0.000 3.872
Eu 3.872 3.872 0.000
Gd 0.000 0.000 3.872
Gd 0.000 3.872 0.000
Gd 3.872 0.000 0.000
Gd 3.872 3.872 3.872


Entry 2:
5
Lattice="4.016 0.000 0.000 0.000 4.016 0.000 0.000 0.000 4.016" Properties=species:S:1:pos:R:3 comment="PBE-GGA Be3FeH, relaxed" final_energy_ev_per_cell=-15.62 polymorph_energy_mev_per_atom=1459 vol_a3_per_atom=12.95 total_magnetization_mub_per_cell=1.148 crystal_system=cubic pbc="T T T"
Be 0.000 0.000 2.008
Be 0.000 2.008 0.000
Be 2.008 0.000 0.000
Fe 0.000 0.000 0.000
H 2.008 2.008 2.008